Here is an optimized crystal structure of BaAc6Ir3 from the Alexandria database. Energies are from PBE-GGA.

a b c (Å): 4.3940 13.4189 13.6994
angles (deg): 102.38 90.00 90.00
Fractional positions:
Ba  0.7500  0.0343  0.6426
Ba  0.2500  0.9657  0.3574
Ac  0.2500  0.3383  0.7592
Ac  0.7500  0.5215  0.6316
Ac  0.2500  0.7580  0.5312
Ac  0.7500  0.3878  0.0380
Ac  0.7500  0.6617  0.2408
Ac  0.2500  0.6122  0.9620
Ac  0.7500  0.2420  0.4688
Ac  0.7500  0.7953  0.8112
Ac  0.2500  0.2047  0.1888
Ac  0.7500  0.9347  0.0906
Ac  0.2500  0.4785  0.3684
Ac  0.2500  0.0653  0.9094
Ir  0.2500  0.5190  0.1519
Ir  0.7500  0.6256  0.4508
Ir  0.7500  0.4810  0.8481
Ir  0.7500  0.1504  0.0487
Ir  0.2500  0.3744  0.5492
Ir  0.2500  0.8496  0.9513

Output
Total magnetic moment in μB per formula unit: 0.00
Symmetry: P2_1/m, No. 11
VASP energy in eV for the cell shown: -115.92
Crystal system: monoclinic

***

Here is an optimized crystal structure of VCd3Te from the Alexandria database. Energies are from PBE-GGA.

a b c (Å): 5.3587 5.3587 5.3587
angles (deg): 90.00 90.00 90.00
Last column: magnetic moment on the atom in μB.
Fractional positions:
Te  0.5000  0.5000  0.5000  -0.21
V  0.0000  0.0000  0.0000  2.82
Cd  0.0000  0.0000  0.5000  0.01
Cd  0.0000  0.5000  0.0000  0.01
Cd  0.5000  0.0000  0.0000  0.01

Output
Total magnetic moment in μB per formula unit: 3.12
Symmetry: Pm-3m, No. 221
Crystal system: cubic
Energy above the most stable polymorph in this dataset in meV per atom: 0.0
Formation energy (no corrections) in meV/atom: 745

***

Here is an optimized crystal structure of PmEuH from the Alexandria database. Energies are from PBE-GGA.

a b c (Å): 3.7369 3.7369 6.0458
angles (deg): 90.00 90.00 120.00
Last column: magnetic moment on the atom in μB.
Fractional positions:
Eu  0.0000  0.0000  0.9113  -6.97
Pm  0.6667  0.3333  0.4335  -0.14
H  0.3333  0.6667  0.6552  0.01

Output
Total magnetic moment in μB per formula unit: 7.67
Symmetry: P3m1, No. 156
Crystal system: trigonal
Energy above the most stable polymorph in this dataset in meV per atom: 18.8

***

Here is an optimized crystal structure of Hf2Zr2Pa from the Alexandria database. Energies are from PBE-GGA.

a b c (Å): 8.5603 8.5603 6.5410
angles (deg): 92.71 139.13 112.71
Fractional positions:
Hf  0.2456  0.1888  0.8410
Hf  0.7898  0.3582  0.6281
Hf  0.7699  0.8383  0.1281
Hf  0.1522  0.5954  0.3410
Zr  0.8449  0.0570  0.8057
Zr  0.4651  0.4065  0.6624
Zr  0.2487  0.9608  0.3057
Zr  0.7558  0.1972  0.1624
Pa  0.1921  0.7770  0.8128
Pa  0.5359  0.6207  0.3128

Output
Total magnetic moment in μB per formula unit: 0.00
Symmetry: Cc, No. 9
VASP energy in eV for the cell shown: -89.96
Crystal system: monoclinic

***

Here is an optimized crystal structure of LaPu2Hg3Bi3 from the Alexandria database. Energies are from PBE-GGA.

a b c (Å): 4.2622 8.5413 8.5413
angles (deg): 120.00 90.00 90.00
Last column: magnetic moment on the atom in μB.
Fractional positions:
Hg  0.5000  0.2776  0.2776  0.00
Hg  0.5000  0.0000  0.7224  0.00
Hg  0.5000  0.7224  0.0000  0.00
Pu  0.5000  0.6667  0.3333  -5.25
Pu  0.5000  0.3333  0.6667  -5.25
Bi  0.0000  0.5846  0.5846  0.20
Bi  0.0000  0.0000  0.4154  0.20
Bi  0.0000  0.4154  0.0000  0.20
La  0.0000  0.0000  0.0000  0.03

Output
Total magnetic moment in μB per formula unit: 10.00
Symmetry: P-62m, No. 189
VASP energy in eV for the cell shown: -48.89
Crystal system: hexagonal

***

Here is an optimized crystal structure of ScOsCl2 from the Alexandria database. Energies are from PBE-GGA.

a b c (Å): 7.0506 7.0506 4.4184
angles (deg): 86.89 86.89 26.35
Last column: magnetic moment on the atom in μB.
Fractional positions:
Sc  0.7500  0.7500  0.7500  -0.04
Cl  0.3901  0.3901  0.5322  0.02
Cl  0.1099  0.1099  0.9678  0.02
Os  0.2500  0.2500  0.2500  0.49

Output
Total magnetic moment in μB per formula unit: 0.56
Symmetry: C2/m, No. 12
Crystal system: monoclinic
Energy above the most stable polymorph in this dataset in meV per atom: 0.0
Formation energy (no corrections) in meV/atom: -547

***

Here is an optimized crystal structure of Pr3Sb2H2 from the Alexandria database. Energies are from PBE-GGA.

a b c (Å): 4.1314 7.9533 10.4460
angles (deg): 90.00 101.41 90.00
Fractional positions:
Sb  0.9721  0.2500  0.9442
Sb  0.1720  0.2500  0.3440
Sb  0.0279  0.7500  0.0558
Sb  0.8280  0.7500  0.6560
Pr  0.2068  0.7500  0.4136
Pr  0.4137  0.9728  0.8273
Pr  0.5863  0.4728  0.1727
Pr  0.4137  0.5272  0.8273
Pr  0.5863  0.0272  0.1727
Pr  0.7932  0.2500  0.5864
H  0.6834  0.6058  0.3668
H  0.3166  0.1058  0.6332
H  0.6834  0.8942  0.3668
H  0.3166  0.3942  0.6332

Output
Total magnetic moment in μB per formula unit: 0.00
Symmetry: Cmcm, No. 63
Crystal system: orthorhombic
Energy above the most stable polymorph in this dataset in meV per atom: 27.2

***

Here is an optimized crystal structure of GdHoPt from the Alexandria database. Energies are from PBE-GGA.

a b c (Å): 4.8747 4.8747 4.8747
angles (deg): 60.00 60.00 60.00
Last column: magnetic moment on the atom in μB.
Fractional positions:
Pt  0.2500  0.2500  0.2500  -0.03
Gd  0.0000  0.0000  0.0000  7.02
Ho  0.5000  0.5000  0.5000  0.03

Output
Total magnetic moment in μB per formula unit: 7.13
Symmetry: F-43m, No. 216
Crystal system: cubic
Energy above the most stable polymorph in this dataset in meV per atom: 0.0

***

Here is an optimized crystal structure of PmPr2Pu3S6 from the Alexandria database. Energies are from PBE-GGA.

a b c (Å): 4.0145 8.0345 8.9854
angles (deg): 102.49 102.91 90.00
Last column: magnetic moment on the atom in μB.
Fractional positions:
Pr  0.1661  0.3352  0.3322  -0.01
Pr  0.8339  0.6648  0.6678  -0.01
S  0.0028  0.7468  0.0055  -0.03
S  0.6683  0.0753  0.3367  0.07
S  0.6645  0.5920  0.3289  0.02
S  0.9972  0.2532  0.9945  -0.03
S  0.3317  0.9247  0.6633  0.07
S  0.3355  0.4080  0.6711  0.02
Pm  0.5000  0.0000  0.0000  -0.01
Pu  0.8329  0.1656  0.6658  -5.28
Pu  0.5000  0.5000  0.0000  5.28
Pu  0.1671  0.8344  0.3342  -5.28

Output
Total magnetic moment in μB per formula unit: 5.50
Symmetry: C2/m, No. 12
Crystal system: monoclinic
Formation energy (no corrections) in meV/atom: -1909

***

Here is an optimized crystal structure of UP3H10BrO8 from the Alexandria database. Energies are from PBE-GGA.

a b c (Å): 7.7160 10.3487 15.3985
angles (deg): 90.00 90.00 90.00
Last column: magnetic moment on the atom in μB.
Fractional positions:
O  0.3851  0.2371  0.3418  -0.01
O  0.8152  0.1341  0.7500  -0.01
O  0.5064  0.9755  0.1597  -0.01
O  0.6149  0.7629  0.8418  -0.01
O  0.9535  0.8138  0.7500  -0.01
O  0.6149  0.7629  0.6582  -0.01
O  0.6149  0.7371  0.1582  -0.01
O  0.0465  0.1862  0.2500  -0.01
O  0.1848  0.8659  0.2500  -0.01
O  0.4936  0.0245  0.6597  -0.01
O  0.5064  0.5245  0.8403  -0.01
O  0.8500  0.9691  0.6055  0.00
O  0.1848  0.6341  0.7500  -0.01
O  0.8152  0.3659  0.2500  -0.01
O  0.3851  0.2371  0.1582  -0.01
O  0.6149  0.7371  0.3418  -0.01
O  0.1500  0.4691  0.8945  0.00
O  0.4936  0.4755  0.3403  -0.01
O  0.1500  0.4691  0.6055  0.00
O  0.3851  0.2629  0.8418  -0.01
O  0.4936  0.0245  0.8403  -0.01
O  0.0465  0.3138  0.7500  -0.01
O  0.4936  0.4755  0.1597  -0.01
O  0.5064  0.9755  0.3403  -0.01
O  0.8500  0.5309  0.3945  0.00
O  0.8500  0.5309  0.1055  0.00
O  0.1500  0.0309  0.1055  0.00
O  0.9535  0.6862  0.2500  -0.01
O  0.8500  0.9691  0.8945  0.00
O  0.1500  0.0309  0.3945  0.00
O  0.5064  0.5245  0.6597  -0.01
O  0.3851  0.2629  0.6582  -0.01
H  0.7932  0.9169  0.1182  0.00
H  0.7746  0.1650  0.1766  0.00
H  0.2068  0.4169  0.1182  0.00
H  0.8693  0.0535  0.9227  0.00
H  0.0846  0.4023  0.5730  0.00
H  0.7746  0.3350  0.8234  0.00
H  0.7746  0.3350  0.6766  0.00
H  0.7932  0.9169  0.3818  0.00
H  0.7932  0.5831  0.6182  0.00
H  0.4259  0.3617  0.0295  0.00
H  0.8693  0.4465  0.4227  0.00
H  0.0846  0.0977  0.0730  0.00
H  0.9154  0.5977  0.0730  0.00
H  0.9154  0.9023  0.9270  0.00
H  0.9154  0.5977  0.4270  0.00
H  0.2254  0.8350  0.6766  0.00
H  0.2068  0.0831  0.6182  0.00
H  0.5741  0.6383  0.9705  0.00
H  0.9154  0.9023  0.5730  0.00
H  0.2254  0.8350  0.8234  0.00
H  0.4259  0.3617  0.4705  0.00
H  0.0846  0.4023  0.9270  0.00
H  0.7746  0.1650  0.3234  0.00
H  0.2068  0.4169  0.3818  0.00
H  0.1307  0.9465  0.4227  0.00
H  0.1307  0.5535  0.5773  0.00
H  0.1307  0.9465  0.0773  0.00
H  0.5741  0.8617  0.0295  0.00
H  0.5741  0.6383  0.5295  0.00
H  0.2254  0.6650  0.3234  0.00
H  0.2068  0.0831  0.8818  0.00
H  0.0846  0.0977  0.4270  0.00
H  0.8693  0.0535  0.5773  0.00
H  0.4259  0.1383  0.5295  0.00
H  0.2254  0.6650  0.1766  0.00
H  0.8693  0.4465  0.0773  0.00
H  0.5741  0.8617  0.4705  0.00
H  0.4259  0.1383  0.9705  0.00
H  0.7932  0.5831  0.8818  0.00
H  0.1307  0.5535  0.9227  0.00
P  0.3803  0.1281  0.6183  0.00
P  0.1457  0.7787  0.7500  0.00
P  0.1457  0.7213  0.2500  0.00
P  0.3803  0.1281  0.8817  0.00
P  0.6197  0.8719  0.3817  0.00
P  0.6197  0.6281  0.6183  0.00
P  0.3803  0.3719  0.3817  0.00
P  0.6197  0.8719  0.1183  0.00
P  0.3803  0.3719  0.1183  0.00
P  0.8543  0.2213  0.2500  0.00
P  0.6197  0.6281  0.8817  0.00
P  0.8543  0.2787  0.7500  0.00
U  0.7003  0.9305  0.7500  1.98
U  0.2997  0.4305  0.7500  1.98
U  0.2997  0.0695  0.2500  1.98
U  0.7003  0.5695  0.2500  1.98
Br  0.0748  0.7500  0.0000  0.00
Br  0.0748  0.7500  0.5000  0.00
Br  0.9252  0.2500  0.0000  0.00
Br  0.9252  0.2500  0.5000  0.00

Output
Total magnetic moment in μB per formula unit: 2.00
Symmetry: Pbcm, No. 57
VASP energy in eV for the cell shown: -526.66
Crystal system: orthorhombic

***

Here is an optimized crystal structure of NdHo3Ru3 from the Alexandria database. Energies are from PBE-GGA.

a b c (Å): 5.8770 5.8298 5.8770
angles (deg): 109.31 109.63 109.31
Fractional positions:
Ru  0.5011  0.5054  0.0000
Ru  0.4989  0.0042  0.4989
Ru  0.0000  0.5054  0.5011
Ho  0.4155  0.0030  0.0000
Ho  0.5845  0.5875  0.5845
Ho  0.0000  0.0030  0.4155
Nd  0.0000  0.4165  0.0000

Output
Total magnetic moment in μB per formula unit: 0.00
Symmetry: R3m, No. 160
VASP energy in eV for the cell shown: -48.58
Crystal system: trigonal

***

Here is an optimized crystal structure of Pr2Mg5Ga4 from the Alexandria database. Energies are from PBE-GGA.

a b c (Å): 6.1589 6.3922 8.1755
angles (deg): 79.55 67.87 61.20
Fractional positions:
Pr  0.8556  0.0000  0.2887
Pr  0.1444  0.0000  0.7113
Ga  0.4660  0.7703  0.2977
Ga  0.2363  0.2297  0.2977
Ga  0.7637  0.7703  0.7023
Ga  0.5340  0.2297  0.7023
Mg  0.0000  0.5000  0.0000
Mg  0.5000  0.5000  0.0000
Mg  0.5000  0.0000  0.0000
Mg  0.2500  0.5000  0.5000
Mg  0.7500  0.5000  0.5000

Output
Total magnetic moment in μB per formula unit: 0.00
Symmetry: Fmmm, No. 69
VASP energy in eV for the cell shown: -32.31
Crystal system: orthorhombic